## InHIr (PBE)

Data for InHIr after structural relaxation.

For the polymorph energy (0 for the lowest one), the calculation gives 0.0000 eV/atom. The density of states at the Fermi level is 5.49 states/eV per cell. The value obtained for the total DFT energy (no corrections) is -5.071 eV/atom. The value obtained for the calculated volume is 342.4 Å³/cell.

The space group is Cmce (No. 64) and the conventional cell measures 5.570, 8.901 and 6.908 Å, with angles of 90.00, 90.00 and 90.00 degrees. The asymmetric unit holds In at (0.000, 0.161, 0.095), H at (0.000, 0.040, 0.614) and Ir at (0.250, 0.094, 0.750).